# 1
Ca2NdRuO6 | PBE-GGA | optimized geometry

a b c (Å): 5.6585 5.9244 9.8921
angles (deg): 90.00 124.17 90.00
Last column: nearest neighbours and their distance in Å.
Sites, in units of the cell vectors:
Ca 0.2352 0.0563 0.2538  5 O 2.35-2.60
Ca 0.2352 0.4437 0.7538  5 O 2.35-2.60
Ca 0.7648 0.5563 0.2462  5 O 2.35-2.60
Ca 0.7648 0.9437 0.7462  5 O 2.35-2.60
Nd 0.5000 0.0000 0.0000  6 O 2.31-2.37
Nd 0.5000 0.5000 0.5000  6 O 2.31-2.37
Ru 0.0000 0.0000 0.5000  6 O 1.97-2.00
Ru 0.0000 0.5000 0.0000  6 O 1.97-2.00
O 0.0982 0.2212 0.9272  1 Ru 2.00
O 0.0982 0.2788 0.4272  1 Ru 2.00
O 0.2259 0.6791 0.9429  1 Ru 1.97
O 0.2259 0.8209 0.4429  1 Ru 1.97
O 0.3466 0.0571 0.7254  1 Ru 2.00
O 0.3466 0.4429 0.2254  1 Ru 2.00
O 0.6534 0.5571 0.7746  1 Ru 2.00
O 0.6534 0.9429 0.2746  1 Ru 2.00
O 0.7741 0.1791 0.5571  1 Ru 1.97
O 0.7741 0.3209 0.0571  1 Ru 1.97
O 0.9018 0.7212 0.5728  1 Ru 2.00
O 0.9018 0.7788 0.0728  1 Ru 2.00

Results
- total magnetic moment (μB per atom) = 0.30
- energy above the most stable polymorph in this dataset (meV/atom) = 53
- crystal system = monoclinic
- formation energy (no corrections) (kcal/mol of atoms) = -54.3

# 2
CaNd2RuO8 | PBE-GGA | optimized geometry

a b c (Å): 5.1536 5.1536 7.0851
angles (deg): 90.00 90.00 90.90
Last column: nearest neighbours and their distance in Å.
Sites, in units of the cell vectors:
Ca 0.0000 0.0000 0.0000  2 O 2.21
Nd 0.5000 0.5000 0.2469  6 O 2.24-2.48
Nd 0.5000 0.5000 0.7531  6 O 2.24-2.48
Ru 0.0000 0.0000 0.5000  6 O 1.89-1.90
O 0.1777 0.8223 0.3079  1 Ru 1.89
O 0.1777 0.8223 0.6921  1 Ru 1.89
O 0.2629 0.2629 0.5000  1 Ru 1.90
O 0.3062 0.3062 0.0000  1 Ca 2.21, 2 Nd 2.24
O 0.6938 0.6938 0.0000  1 Ca 2.21, 2 Nd 2.24
O 0.7371 0.7371 0.5000  1 Ru 1.90
O 0.8223 0.1777 0.3079  1 Ru 1.89
O 0.8223 0.1777 0.6921  1 Ru 1.89

Results
- total magnetic moment (μB per atom) = 0.00
- crystal system = orthorhombic
- formation energy (no corrections) (kcal/mol of atoms) = -46.9

# 3
CaNdS2O8 | PBE-GGA | optimized geometry

a b c (Å): 5.2035 5.2035 7.6671
angles (deg): 90.00 90.00 120.00
Last column: nearest neighbours and their distance in Å.
Sites, in units of the cell vectors:
Ca 0.0000 0.0000 0.0000  6 O 2.52
Nd 0.0000 0.0000 0.5000  6 O 2.46
S 0.3333 0.6667 0.8100  4 O 1.47-1.50
S 0.6667 0.3333 0.1900  4 O 1.47-1.50
O 0.1769 0.3537 0.7452  1 S 1.50
O 0.1769 0.8231 0.7452  1 S 1.50
O 0.3333 0.6667 0.0017  1 S 1.47
O 0.3537 0.1769 0.2548  1 S 1.50
O 0.6463 0.8231 0.7452  1 S 1.50
O 0.6667 0.3333 0.9983  1 S 1.47
O 0.8231 0.1769 0.2548  1 S 1.50
O 0.8231 0.6463 0.2548  1 S 1.50

Results
- total magnetic moment (μB per atom) = 0.03
- crystal system = trigonal
- formation energy (no corrections) (kcal/mol of atoms) = -45.9

# 4
CaNdSb2O8 | PBE-GGA | optimized geometry

a b c (Å): 6.8471 6.8471 6.8471
angles (deg): 133.58 133.58 67.75
Last column: nearest neighbours and their distance in Å.
Sites, in units of the cell vectors:
Ca 0.0000 0.0000 0.0000  8 O 2.44-2.49
Nd 0.7500 0.2500 0.5000  8 O 2.44-2.48
Sb 0.2500 0.7500 0.5000  4 O 1.92
Sb 0.5000 0.5000 0.0000  4 O 1.93
O 0.0968 0.6588 0.0768  1 Sb 1.92
O 0.1660 0.2313 0.5768  1 Sb 1.93
O 0.3412 0.4179 0.4379  1 Sb 1.92
O 0.4108 0.8340 0.0653  1 Sb 1.93
O 0.5821 0.0200 0.9232  1 Sb 1.92
O 0.6545 0.5892 0.4232  1 Sb 1.93
O 0.7687 0.3455 0.9347  1 Sb 1.93
O 0.9800 0.9032 0.5621  1 Sb 1.92

Results
- total magnetic moment (μB per atom) = 0.09
- crystal system = tetragonal
- formation energy (no corrections) (kcal/mol of atoms) = -45.7

# 5
Ca3Nd2Sb3O14 | PBE-GGA | optimized geometry

a b c (Å): 7.5404 7.5404 7.4937
angles (deg): 119.34 119.34 60.51
Last column: nearest neighbours and their distance in Å.
Sites, in units of the cell vectors:
Ca 0.0000 0.0000 0.0000  6 O 2.35-2.52
Ca 0.0000 0.0000 0.5000  2 O 2.25
Ca 0.5000 0.5000 0.0000  6 O 2.30-2.33
Nd 0.0000 0.5000 0.5000  6 O 2.33-2.52
Nd 0.5000 0.0000 0.5000  6 O 2.33-2.52
Sb 0.0000 0.5000 0.0000  6 O 1.97-2.04
Sb 0.5000 0.0000 0.0000  6 O 1.97-2.04
Sb 0.5000 0.5000 0.5000  6 O 1.98-2.03
O 0.1238 0.1238 0.3803  2 Ca 2.25-2.35, 2 Nd 2.33
O 0.1283 0.5960 0.9037  1 Sb 1.97
O 0.1837 0.5867 0.3179  2 Sb 2.03-2.04
O 0.1874 0.1874 0.9080  2 Sb 2.03
O 0.4040 0.4040 0.6310  1 Sb 1.98
O 0.4040 0.8717 0.0963  1 Sb 1.97
O 0.4133 0.8163 0.6821  2 Sb 2.03-2.04
O 0.5867 0.1837 0.3179  2 Sb 2.03-2.04
O 0.5960 0.1283 0.9037  1 Sb 1.97
O 0.5960 0.5960 0.3690  1 Sb 1.98
O 0.8126 0.8126 0.0920  2 Sb 2.03
O 0.8163 0.4133 0.6821  2 Sb 2.03-2.04
O 0.8717 0.4040 0.0963  1 Sb 1.97
O 0.8762 0.8762 0.6197  2 Ca 2.25-2.35, 2 Nd 2.33

Results
- total magnetic moment (μB per atom) = 0.05
- crystal system = monoclinic
- formation energy (no corrections) (kcal/mol of atoms) = -54.6

# 6
CaNdSe2O8 | PBE-GGA | optimized geometry

a b c (Å): 5.7994 5.7994 7.1173
angles (deg): 90.00 90.00 120.00
Last column: nearest neighbours and their distance in Å.
Sites, in units of the cell vectors:
Ca 0.0000 0.0000 0.0000  6 O 2.51
Nd 0.0000 0.0000 0.5000  6 O 2.36
Se 0.3333 0.6667 0.8073  4 O 1.65-1.76
Se 0.6667 0.3333 0.1927  4 O 1.65-1.76
O 0.1654 0.3308 0.7356  1 Se 1.76
O 0.1654 0.8346 0.7356  1 Se 1.76
O 0.3308 0.1654 0.2644  1 Se 1.76
O 0.3333 0.6667 0.0394  1 Se 1.65
O 0.6667 0.3333 0.9606  1 Se 1.65
O 0.6692 0.8346 0.7356  1 Se 1.76
O 0.8346 0.1654 0.2644  1 Se 1.76
O 0.8346 0.6692 0.2644  1 Se 1.76

Results
- total magnetic moment (μB per atom) = 0.00
- crystal system = trigonal
- formation energy (no corrections) (kcal/mol of atoms) = -36.2

Question: Number 6 is which compound?
Answer: CaNdSe2O8